[1]
# Cs2RbTaBr6, optimized geometry, DFT GGA-PBE
data_Cs2RbTaBr6
_chemical_formula_sum 'Cs8 Rb4 Ta4 Br24'
_cell_length_a 11.676
_cell_length_b 11.676
_cell_length_c 11.676
_cell_angle_alpha 90.00
_cell_angle_beta 90.00
_cell_angle_gamma 90.00
_symmetry_space_group_name_H-M 'F m -3 m'
_symmetry_Int_Tables_number 225
_symmetry_space_group_name_Hall '-F 4 2 3'
loop_
_atom_site_label
_atom_site_type_symbol
_atom_site_fract_x
_atom_site_fract_y
_atom_site_fract_z
Cs1 Cs 0.250 0.250 0.250
Rb1 Rb 0.000 0.000 0.000
Ta1 Ta 0.000 0.000 0.500
Br1 Br 0.000 0.000 0.275
# DFT total energy (eV for the cell shown): -150.6

=====

[2]
# Cs2RbZrBr6, optimized geometry, DFT GGA-PBE
data_Cs2RbZrBr6
_chemical_formula_sum 'Cs8 Rb4 Zr4 Br24'
_cell_length_a 11.853
_cell_length_b 11.853
_cell_length_c 11.853
_cell_angle_alpha 90.00
_cell_angle_beta 90.00
_cell_angle_gamma 90.00
_symmetry_space_group_name_H-M 'F m -3 m'
_symmetry_Int_Tables_number 225
_symmetry_space_group_name_Hall '-F 4 2 3'
loop_
_atom_site_label
_atom_site_type_symbol
_atom_site_fract_x
_atom_site_fract_y
_atom_site_fract_z
Cs1 Cs 0.250 0.250 0.250
Rb1 Rb 0.000 0.000 0.000
Zr1 Zr 0.000 0.000 0.500
Br1 Br 0.000 0.000 0.272
# DFT total energy (eV for the cell shown): -148.0

=====

[3]
# CsReBr4, optimized geometry, DFT GGA-PBE
data_CsReBr4
_chemical_formula_sum 'Cs8 Re8 Br32'
_cell_length_a 10.232
_cell_length_b 12.699
_cell_length_c 13.104
_cell_angle_alpha 90.00
_cell_angle_beta 90.00
_cell_angle_gamma 90.00
_symmetry_space_group_name_H-M 'P b c a'
_symmetry_Int_Tables_number 61
loop_
_symmetry_equiv_pos_as_xyz
'x,y,z'
'-x,-y,-z'
'-x+1/2,-y,z+1/2'
'x+1/2,y,-z+1/2'
'x+1/2,-y+1/2,-z'
'-x+1/2,y+1/2,z'
'-x,y+1/2,-z+1/2'
'x,-y+1/2,z+1/2'
loop_
_atom_site_label
_atom_site_type_symbol
_atom_site_fract_x
_atom_site_fract_y
_atom_site_fract_z
Cs1 Cs 0.161 0.193 0.136
Re1 Re 0.060 0.015 0.430
Br1 Br 0.025 0.207 0.394
Br2 Br 0.089 0.015 0.719
Br3 Br 0.156 0.659 0.885
Br4 Br 0.220 0.564 0.497
# DFT total energy (eV for the cell shown): -199.2

=====

[4]
# Cs2ScZnBr6, optimized geometry, DFT GGA-PBE
data_Cs2ScZnBr6
_chemical_formula_sum 'Cs6 Sc3 Zn3 Br18'
_cell_length_a 7.8695
_cell_length_b 7.8695
_cell_length_c 19.2305
_cell_angle_alpha 90.00
_cell_angle_beta 90.00
_cell_angle_gamma 120.00
_symmetry_space_group_name_H-M 'R -3'
_symmetry_Int_Tables_number 148
_symmetry_space_group_name_Hall '-R 3'
loop_
_atom_site_label
_atom_site_type_symbol
_atom_site_fract_x
_atom_site_fract_y
_atom_site_fract_z
Cs1 Cs 0.0000 0.0000 0.2499
Sc1 Sc 0.0000 0.0000 0.0000
Zn1 Zn 0.0000 0.0000 0.5000
Br1 Br 0.0110 0.4892 0.7474
# DFT total energy (eV for the cell shown): -101.5

=====

[5]
# CsSm2Br5, optimized geometry, DFT GGA-PBE
data_CsSm2Br5
_chemical_formula_sum 'Cs4 Sm8 Br20'
_cell_length_a 8.071
_cell_length_b 8.071
_cell_length_c 16.007
_cell_angle_alpha 90.00
_cell_angle_beta 90.00
_cell_angle_gamma 90.00
_symmetry_space_group_name_H-M 'I 4/m c m'
_symmetry_Int_Tables_number 140
_symmetry_space_group_name_Hall '-I 4 2c'
loop_
_atom_site_label
_atom_site_type_symbol
_atom_site_fract_x
_atom_site_fract_y
_atom_site_fract_z
Cs1 Cs 0.000 0.000 0.250
Sm1 Sm 0.146 0.354 0.000
Br1 Br 0.000 0.000 0.000
Br2 Br 0.149 0.351 0.377
# DFT total energy (eV for the cell shown): -126.9

=====

[6]
# Cs3SmBr6, optimized geometry, DFT GGA-PBE
data_Cs3SmBr6
_chemical_formula_sum 'Cs6 Sm2 Br12'
_cell_length_a 8.446
_cell_length_b 8.954
_cell_length_c 14.546
_cell_angle_alpha 90.00
_cell_angle_beta 124.30
_cell_angle_gamma 90.00
_symmetry_space_group_name_H-M 'P 1 21/c 1'
_symmetry_Int_Tables_number 14
loop_
_symmetry_equiv_pos_as_xyz
'x,y,z'
'-x,-y,-z'
'-x,y+1/2,-z+1/2'
'x,-y+1/2,z+1/2'
loop_
_atom_site_label
_atom_site_type_symbol
_atom_site_fract_x
_atom_site_fract_y
_atom_site_fract_z
Cs1 Cs 0.000 0.000 0.000
Cs2 Cs 0.218 0.069 0.744
Sm1 Sm 0.500 0.000 0.500
Br1 Br 0.177 0.175 0.450
Br2 Br 0.265 0.735 0.429
Br3 Br 0.397 0.050 0.278
# E above lowest polymorph (eV per atom): 0.0000